Entry 1:
Below is Ti2BeAl after structural relaxation, with properties calculated at the PBE-GGA level.

The formation energy comes out at -22 kJ/mol of atoms. The density of states at the Fermi level comes out at 1.113 states/eV/atom. As for the crystal system: tetragonal. Its total energy is -6.046 eV/atom. For the excess energy over the best structure of this formula in the dataset, the calculation gives 0 meV/atom.

a = 2.7453 Å, b = 2.7453 Å, c = 7.6847 Å
α = 90.00°, β = 90.00°, γ = 90.00°
Closest atoms and distances in Å follow each position.
Space group P4/mmm (No. 123)
Inequivalent atoms, fractional coordinates:
Ti 0.0000 0.0000 0.2190  4 Be 2.57, 4 Ti 2.75
Be 0.5000 0.5000 0.0000  8 Ti 2.57, 4 Be 2.75
Al 0.5000 0.5000 0.5000  4 Al 2.75, 8 Ti 2.90


Entry 2:
Below is TiBeAl2W after structural relaxation, with properties calculated at the PBE-GGA level.

The formation energy comes out at 54 kJ/mol of atoms. The density of states at the Fermi level comes out at 0.558 states/eV/atom. As for the crystal system: tetragonal. Its total energy is -5.848 eV/atom.

a = 4.1366 Å, b = 4.1366 Å, c = 4.3928 Å
α = 90.00°, β = 90.00°, γ = 90.00°
Closest atoms and distances in Å follow each position.
Space group P4/mmm (No. 123)
Inequivalent atoms, fractional coordinates:
Ti 0.0000 0.0000 0.0000  2 Be 2.20
Be 0.0000 0.0000 0.5000  4 Al 2.07, 2 Ti 2.20
Al 0.0000 0.5000 0.5000  2 Be 2.07
W 0.5000 0.5000 0.0000  4 Ti 2.93, 8 Al 3.02


Entry 3:
Below is BeAlTl2 after structural relaxation, with properties calculated at the PBE-GGA level.

The formation energy comes out at 57 kJ/mol of atoms. The density of states at the Fermi level comes out at 0.391 states/eV/atom. As for the crystal system: tetragonal. Its total energy is -2.460 eV/atom. For the excess energy over the best structure of this formula in the dataset, the calculation gives 226 meV/atom.

a = 4.6750 Å, b = 4.6750 Å, c = 16.8931 Å
α = 90.00°, β = 90.00°, γ = 90.00°
Closest atoms and distances in Å follow each position.
Space group I-42d (No. 122)
Inequivalent atoms, fractional coordinates:
Be 0.0000 0.0000 0.0000  4 Tl 2.62
Al 0.0000 0.0000 0.5000  4 Tl 2.75
Tl 0.2191 0.2500 0.1250  2 Be 2.62, 2 Al 2.75


Entry 4:
Below is Be2AlTl after structural relaxation, with properties calculated at the PBE-GGA level.

The formation energy comes out at 65 kJ/mol of atoms. The density of states at the Fermi level comes out at 0.287 states/eV/atom. As for the crystal system: tetragonal. Its total energy is -2.715 eV/atom. For the excess energy over the best structure of this formula in the dataset, the calculation gives 380 meV/atom.

a = 3.9238 Å, b = 3.9238 Å, c = 8.0920 Å
α = 90.00°, β = 90.00°, γ = 90.00°
Closest atoms and distances in Å follow each position.
Space group I-4m2 (No. 119)
Inequivalent atoms, fractional coordinates:
Be 0.0000 0.0000 0.0000  4 Al 2.77, 4 Tl 2.82, 4 Be 2.82
Be 0.0000 0.5000 0.2500  4 Tl 2.77, 4 Be 2.82, 4 Al 2.82
Al 0.0000 0.0000 0.5000  8 Be 2.77-2.82, 4 Tl 2.82
Tl 0.0000 0.5000 0.7500  8 Be 2.77-2.82, 4 Al 2.82


Entry 5:
Below is BeAlTl2 after structural relaxation, with properties calculated at the PBE-GGA level.

The formation energy comes out at 57 kJ/mol of atoms. The density of states at the Fermi level comes out at 0.453 states/eV/atom. As for the crystal system: orthorhombic. Its total energy is -2.456 eV/atom. For the excess energy over the best structure of this formula in the dataset, the calculation gives 230 meV/atom.

a = 3.9683 Å, b = 5.4566 Å, c = 8.1923 Å
α = 90.00°, β = 90.00°, γ = 90.00°
Closest atoms and distances in Å follow each position.
Space group Immm (No. 71)
Inequivalent atoms, fractional coordinates:
Be 0.0000 0.0000 0.0000  4 Tl 2.70
Al 0.0000 0.0000 0.5000  8 Tl 3.02-3.28, 4 Be 3.37
Tl 0.0000 0.5000 0.2771  2 Be 2.70, 2 Al 3.02


Entry 6:
Below is Be2AlTl after structural relaxation, with properties calculated at the PBE-GGA level.

The formation energy comes out at 72 kJ/mol of atoms. The density of states at the Fermi level comes out at 0.328 states/eV/atom. As for the crystal system: cubic. Its total energy is -2.640 eV/atom. For the excess energy over the best structure of this formula in the dataset, the calculation gives 454 meV/atom.

a = 6.3354 Å, b = 6.3354 Å, c = 6.3354 Å
α = 90.00°, β = 90.00°, γ = 90.00°
Closest atoms and distances in Å follow each position.
Space group Fm-3m (No. 225)
Inequivalent atoms, fractional coordinates:
Be 0.2500 0.2500 0.2500  4 Tl 2.74, 4 Al 2.74
Al 0.0000 0.0000 0.0000  8 Be 2.74
Tl 0.0000 0.0000 0.5000  8 Be 2.74